No. 1
A geometry-optimized Sm2AlGa structure, computed with PBE-GGA.

Computed properties:
As for the space group: No. 166. Its formation energy from the elements is -259 meV per atom.

abc: 3.7259 3.7259 9.2816
angles: 78.42 78.42 60.00
Closest atoms and distances in Å follow each position.
Sites, in units of the cell vectors:
Sm 0.7514 0.7514 0.7459  3 Ga 3.09, 3 Al 3.14
Sm 0.2486 0.2486 0.2541  3 Ga 3.09, 3 Al 3.14
Al 0.0000 0.0000 0.0000  6 Sm 3.14
Ga 0.5000 0.5000 0.5000  6 Sm 3.09



No. 2
A geometry-optimized KNd2Ho structure, computed with PBE-GGA.

Computed properties:
As for the space group: No. 166. Its formation energy from the elements is 191 meV per atom.

abc: 3.6530 3.6530 13.5849
angles: 82.27 82.27 60.00
Closest atoms and distances in Å follow each position.
Sites, in units of the cell vectors:
Ho 0.5000 0.5000 0.5000  6 Nd 3.55, 6 Ho 3.65
Nd 0.9041 0.9041 0.2876  3 Ho 3.55, 6 Nd 3.65, 1 K 3.86
Nd 0.0959 0.0959 0.7124  3 Ho 3.55, 6 Nd 3.65, 1 K 3.86
K 0.0000 0.0000 0.0000  6 K 3.65, 2 Nd 3.86



No. 3
A geometry-optimized ZrBeZn2Os structure, computed with PBE-GGA.

Computed properties:
As for the space group: No. 123. Its formation energy from the elements is 2109 meV per atom.

abc: 4.9220 4.4573 4.9220
angles: 90.00 90.00 90.00
Closest atoms and distances in Å follow each position.
Sites, in units of the cell vectors:
Os 0.5000 0.5000 0.5000  8 Zn 3.32, 4 Be 3.48
Be 0.0000 0.5000 0.0000  2 Zr 2.23
Zn 0.0000 0.0000 0.5000  2 Zr 2.46
Zn 0.5000 0.0000 0.0000  2 Zr 2.46
Zr 0.0000 0.0000 0.0000  2 Be 2.23, 4 Zn 2.46



No. 4
A geometry-optimized Ca4ZnIn3 structure, computed with PBE-GGA.

Computed properties:
As for the space group: No. 123. Its formation energy from the elements is -410 meV per atom.

abc: 3.8027 3.8027 15.4018
angles: 90.00 90.00 90.00
Closest atoms and distances in Å follow each position.
Sites, in units of the cell vectors:
Ca 0.0000 0.0000 0.3727  8 In 3.33
Ca 0.0000 0.0000 0.1160  4 Zn 3.23, 4 In 3.34, 1 Ca 3.57
Ca 0.0000 0.0000 0.6273  8 In 3.33
Ca 0.0000 0.0000 0.8840  4 Zn 3.23, 4 In 3.34, 1 Ca 3.57
In 0.5000 0.5000 0.2446  8 Ca 3.33-3.34
In 0.5000 0.5000 0.7554  8 Ca 3.33-3.34
In 0.5000 0.5000 0.5000  8 Ca 3.33
Zn 0.5000 0.5000 0.0000  8 Ca 3.23



Number 1: DOS(E_F) 2.19 states/eV per cell. Number 2: DOS(E_F) 4.58 states/eV per cell. Number 3: DOS(E_F) 4.51 states/eV per cell. Number 4: DOS(E_F) 4.91 states/eV per cell.